## 1
DFT (PBE) results for a relaxed Zr2ScIr3 crystal.

CIF file:
```
data_Zr2ScIr3
_chemical_formula_sum 'Zr2 Sc1 Ir3'
_symmetry_space_group_name_H-M 'P 4/m m m'
_symmetry_Int_Tables_number 123
_symmetry_space_group_name_Hall '-P 4 2'
_cell_length_a 3.357
_cell_length_b 3.357
_cell_length_c 9.444
_cell_angle_alpha 90.00
_cell_angle_beta 90.00
_cell_angle_gamma 90.00
loop_
_atom_site_label
_atom_site_fract_x
_atom_site_fract_y
_atom_site_fract_z
_atom_site_occupancy
Zr1 0.000 0.000 0.170 1
Sc1 0.000 0.000 0.500 1
Ir1 0.500 0.500 0.000 1
Ir2 0.500 0.500 0.334 1
```


## 2
DFT (PBE) results for a relaxed Zr2ScIr3 crystal.

CIF file:
```
data_Zr2ScIr3
_chemical_formula_sum 'Zr2 Sc1 Ir3'
_symmetry_space_group_name_H-M 'P -3 m 1'
_symmetry_Int_Tables_number 164
_symmetry_space_group_name_Hall '-P 3 2"'
_cell_length_a 4.6532
_cell_length_b 4.6532
_cell_length_c 5.6909
_cell_angle_alpha 90.00
_cell_angle_beta 90.00
_cell_angle_gamma 120.00
loop_
_atom_site_label
_atom_site_fract_x
_atom_site_fract_y
_atom_site_fract_z
_atom_site_occupancy
Zr1 0.3333 0.6667 0.1723 1
Sc1 0.0000 0.0000 0.5000 1
Ir1 0.0000 0.0000 0.0000 1
Ir2 0.3333 0.6667 0.6684 1
```


Stability verdict: 1, ahead by 12 meV/atom


## 1
DFT (PBE) results for a relaxed Ir3Se5 crystal.

CIF file:
```
data_Ir3Se5
_chemical_formula_sum 'Ir12 Se20'
_symmetry_space_group_name_H-M 'C 1 2/m 1'
_symmetry_Int_Tables_number 12
_cell_length_a 6.496
_cell_length_b 14.068
_cell_length_c 7.735
_cell_angle_alpha 90.00
_cell_angle_beta 114.67
_cell_angle_gamma 90.00
loop_
_symmetry_equiv_pos_as_xyz
'x,y,z'
'-x,-y,-z'
'-x,y,-z'
'x,-y,z'
'x+1/2,y+1/2,z'
'-x+1/2,-y+1/2,-z'
'-x+1/2,y+1/2,-z'
'x+1/2,-y+1/2,z'
loop_
_atom_site_label
_atom_site_fract_x
_atom_site_fract_y
_atom_site_fract_z
_atom_site_occupancy
Ir1 0.000 0.133 0.000 1
Ir2 0.000 0.250 0.500 1
Ir3 0.132 0.500 0.265 1
Se1 0.122 0.324 0.244 1
Se2 0.177 0.122 0.352 1
Se3 0.249 0.000 0.000 1
```


## 2
DFT (PBE) results for a relaxed Ir3Se5 crystal.

CIF file:
```
data_Ir3Se5
_chemical_formula_sum 'Ir6 Se10'
_symmetry_space_group_name_H-M 'C m m m'
_symmetry_Int_Tables_number 65
_symmetry_space_group_name_Hall '-C 2 2'
_cell_length_a 7.131
_cell_length_b 12.020
_cell_length_c 3.720
_cell_angle_alpha 90.00
_cell_angle_beta 90.00
_cell_angle_gamma 90.00
loop_
_atom_site_label
_atom_site_fract_x
_atom_site_fract_y
_atom_site_fract_z
_atom_site_occupancy
Ir1 0.000 0.000 0.000 1
Ir2 0.000 0.168 0.500 1
Se1 0.000 0.500 0.000 1
Se2 0.227 0.000 0.500 1
Se3 0.250 0.250 0.000 1
```


Stability verdict: 1, ahead by 150 meV/atom


## 1
DFT (PBE) results for a relaxed Ir4Se5 crystal.

CIF file:
```
data_Ir4Se5
_chemical_formula_sum 'Ir8 Se10'
_symmetry_space_group_name_H-M 'P 63/m c m'
_symmetry_Int_Tables_number 193
_symmetry_space_group_name_Hall '-P 6c 2'
_cell_length_a 7.2499
_cell_length_b 7.2499
_cell_length_c 7.1683
_cell_angle_alpha 90.00
_cell_angle_beta 90.00
_cell_angle_gamma 120.00
loop_
_atom_site_label
_atom_site_fract_x
_atom_site_fract_y
_atom_site_fract_z
_atom_site_occupancy
Ir1 0.0000 0.0000 0.0000 1
Ir2 0.0000 0.4291 0.2500 1
Se1 0.0000 0.2408 0.7500 1
Se2 0.3333 0.6667 0.0000 1
```


## 2
DFT (PBE) results for a relaxed Ir4Se5 crystal.

CIF file:
```
data_Ir4Se5
_chemical_formula_sum 'Ir8 Se10'
_symmetry_space_group_name_H-M 'I 4/m m m'
_symmetry_Int_Tables_number 139
_symmetry_space_group_name_Hall '-I 4 2'
_cell_length_a 10.212
_cell_length_b 10.212
_cell_length_c 2.891
_cell_angle_alpha 90.00
_cell_angle_beta 90.00
_cell_angle_gamma 90.00
loop_
_atom_site_label
_atom_site_fract_x
_atom_site_fract_y
_atom_site_fract_z
_atom_site_occupancy
Ir1 0.000 0.339 0.000 1
Se1 0.000 0.000 0.000 1
Se2 0.164 0.164 0.500 1
```


Stability verdict: 1, ahead by 282 meV/atom


## 1
DFT (PBE) results for a relaxed Ir4Se3 crystal.

CIF file:
```
data_Ir4Se3
_chemical_formula_sum 'Ir8 Se6'
_symmetry_space_group_name_H-M 'I 4/m m m'
_symmetry_Int_Tables_number 139
_symmetry_space_group_name_Hall '-I 4 2'
_cell_length_a 3.365
_cell_length_b 3.365
_cell_length_c 22.312
_cell_angle_alpha 90.00
_cell_angle_beta 90.00
_cell_angle_gamma 90.00
loop_
_atom_site_label
_atom_site_fract_x
_atom_site_fract_y
_atom_site_fract_z
_atom_site_occupancy
Ir1 0.000 0.000 0.063 1
Ir2 0.000 0.000 0.367 1
Se1 0.000 0.000 0.175 1
Se2 0.000 0.000 0.500 1
```


## 2
DFT (PBE) results for a relaxed Ir4Se3 crystal.

CIF file:
```
data_Ir4Se3
_chemical_formula_sum 'Ir4 Se3'
_symmetry_space_group_name_H-M 'P 6/m m m'
_symmetry_Int_Tables_number 191
_symmetry_space_group_name_Hall '-P 6 2'
_cell_length_a 5.0933
_cell_length_b 5.0933
_cell_length_c 5.2055
_cell_angle_alpha 90.00
_cell_angle_beta 90.00
_cell_angle_gamma 120.00
loop_
_atom_site_label
_atom_site_fract_x
_atom_site_fract_y
_atom_site_fract_z
_atom_site_occupancy
Ir1 0.0000 0.0000 0.2358 1
Ir2 0.3333 0.6667 0.0000 1
Se1 0.0000 0.5000 0.5000 1
```


Stability verdict: 1, ahead by 887 meV/atom


## 1
DFT (PBE) results for a relaxed SnIr3Se crystal.

CIF file:
```
data_SnIr3Se
_chemical_formula_sum 'Sn1 Ir3 Se1'
_symmetry_space_group_name_H-M 'P m -3 m'
_symmetry_Int_Tables_number 221
_symmetry_space_group_name_Hall '-P 4 2 3'
_cell_length_a 4.659
_cell_length_b 4.659
_cell_length_c 4.659
_cell_angle_alpha 90.00
_cell_angle_beta 90.00
_cell_angle_gamma 90.00
loop_
_atom_site_label
_atom_site_fract_x
_atom_site_fract_y
_atom_site_fract_z
_atom_site_occupancy
Sn1 0.000 0.000 0.000 1
Ir1 0.000 0.500 0.500 1
Se1 0.500 0.500 0.500 1
```


## 2
DFT (PBE) results for a relaxed SnIr3Se crystal.

CIF file:
```
data_SnIr3Se
_chemical_formula_sum 'Sn1 Ir3 Se1'
_symmetry_space_group_name_H-M 'P m -3 m'
_symmetry_Int_Tables_number 221
_symmetry_space_group_name_Hall '-P 4 2 3'
_cell_length_a 4.886
_cell_length_b 4.886
_cell_length_c 4.886
_cell_angle_alpha 90.00
_cell_angle_beta 90.00
_cell_angle_gamma 90.00
loop_
_atom_site_label
_atom_site_fract_x
_atom_site_fract_y
_atom_site_fract_z
_atom_site_occupancy
Sn1 0.000 0.000 0.000 1
Ir1 0.000 0.000 0.500 1
Se1 0.500 0.500 0.500 1
```


Stability verdict: 1, ahead by 896 meV/atom


## 1
DFT (PBE) results for a relaxed Sn3IrSe crystal.

CIF file:
```
data_Sn3IrSe
_chemical_formula_sum 'Sn3 Ir1 Se1'
_symmetry_space_group_name_H-M 'P m -3 m'
_symmetry_Int_Tables_number 221
_symmetry_space_group_name_Hall '-P 4 2 3'
_cell_length_a 5.152
_cell_length_b 5.152
_cell_length_c 5.152
_cell_angle_alpha 90.00
_cell_angle_beta 90.00
_cell_angle_gamma 90.00
loop_
_atom_site_label
_atom_site_fract_x
_atom_site_fract_y
_atom_site_fract_z
_atom_site_occupancy
Sn1 0.000 0.000 0.500 1
Ir1 0.000 0.000 0.000 1
Se1 0.500 0.500 0.500 1
```


## 2
DFT (PBE) results for a relaxed Sn3IrSe crystal.

CIF file:
```
data_Sn3IrSe
_chemical_formula_sum 'Sn3 Ir1 Se1'
_symmetry_space_group_name_H-M 'P m -3 m'
_symmetry_Int_Tables_number 221
_symmetry_space_group_name_Hall '-P 4 2 3'
_cell_length_a 5.273
_cell_length_b 5.273
_cell_length_c 5.273
_cell_angle_alpha 90.00
_cell_angle_beta 90.00
_cell_angle_gamma 90.00
loop_
_atom_site_label
_atom_site_fract_x
_atom_site_fract_y
_atom_site_fract_z
_atom_site_occupancy
Sn1 0.000 0.000 0.500 1
Ir1 0.500 0.500 0.500 1
Se1 0.000 0.000 0.000 1
```


Stability verdict: 1, ahead by 1194 meV/atom